Record 1
A geometry-optimized SrSm5In6 structure. Source: Alexandria via LeMat-Bulk, functional PBE.

POSCAR file:
```
SrSm5In6
1.0
-2.740 3.844 8.225
2.740 -3.844 8.225
2.740 3.844 -8.225
Sr Sm In
1 5 6
Direct
0.000 0.000 0.000
0.160 0.660 0.500
0.330 0.330 0.000
0.500 0.000 0.500
0.670 0.670 0.000
0.840 0.340 0.500
0.088 0.830 0.257
0.265 0.500 0.765
0.427 0.170 0.257
0.573 0.830 0.743
0.735 0.500 0.235
0.912 0.170 0.743
```

## Properties
The calculation puts the total energy at -47.27 eV per cell.



Record 2
A geometry-optimized SrSm3In2 structure. Source: Alexandria via LeMat-Bulk, functional PBE.

POSCAR file:
```
SrSm3In2
1.0
5.555 0.000 0.000
0.000 9.643 0.000
0.000 0.000 7.036
Sr Sm In
2 6 4
Direct
0.000 0.008 0.000
0.000 0.992 0.500
0.000 0.339 0.739
0.000 0.661 0.239
0.500 0.173 0.259
0.500 0.493 0.998
0.500 0.507 0.498
0.500 0.827 0.759
0.000 0.336 0.248
0.000 0.664 0.748
0.500 0.171 0.751
0.500 0.829 0.251
```

## Properties
The calculation puts the total energy at -46.55 eV per cell.



Record 3
A geometry-optimized Sr4SmIn5 structure. Source: Alexandria via LeMat-Bulk, functional PBE.

POSCAR file:
```
Sr4SmIn5
1.0
4.019 0.000 0.000
0.000 4.019 0.000
0.000 0.000 20.136
Sr Sm In
4 1 5
Direct
0.000 0.000 0.102
0.000 0.000 0.306
0.000 0.000 0.694
0.000 0.000 0.898
0.000 0.000 0.500
0.500 0.500 0.000
0.500 0.500 0.203
0.500 0.500 0.412
0.500 0.500 0.588
0.500 0.500 0.797
```

## Properties
The calculation puts the total energy at -29.49 eV per cell.



Record 4
A geometry-optimized Sr2SmIn3 structure. Source: Alexandria via LeMat-Bulk, functional PBE.

POSCAR file:
```
Sr2SmIn3
1.0
2.810 -8.448 0.000
2.810 8.448 0.000
0.000 0.000 8.018
Sr Sm In
4 2 6
Direct
0.000 0.000 0.000
0.000 0.000 0.500
0.335 0.665 0.000
0.665 0.335 0.000
0.338 0.662 0.500
0.662 0.338 0.500
0.173 0.827 0.269
0.173 0.827 0.731
0.500 0.500 0.262
0.500 0.500 0.738
0.827 0.173 0.269
0.827 0.173 0.731
```

## Properties
The calculation puts the total energy at -37.80 eV per cell.



Record 5
A geometry-optimized Sr2SmIn structure. Source: Alexandria via LeMat-Bulk, functional PBE.

POSCAR file:
```
Sr2SmIn
1.0
1.918 1.107 13.244
-1.918 1.107 13.244
0.000 -2.214 13.244
Sr Sm In
2 1 1
Direct
0.087 0.087 0.087
0.913 0.913 0.913
0.500 0.500 0.500
0.000 0.000 0.000
```

## Properties
The calculation puts the total energy at -9.97 eV per cell.



Record 6
A geometry-optimized SrSmIn6 structure. Source: Alexandria via LeMat-Bulk, functional PBE.

POSCAR file:
```
SrSmIn6
1.0
4.766 0.000 0.000
0.000 4.766 0.000
0.000 0.000 9.565
Sr Sm In
1 1 6
Direct
0.000 0.000 0.000
0.000 0.000 0.500
0.000 0.500 0.256
0.000 0.500 0.744
0.500 0.000 0.256
0.500 0.000 0.744
0.500 0.500 0.000
0.500 0.500 0.500
```

## Properties
The calculation puts the total energy at -25.84 eV per cell.



Record 7
A geometry-optimized SrSm2In3 structure. Source: Alexandria via LeMat-Bulk, functional PBE.

POSCAR file:
```
SrSm2In3
1.0
3.901 0.000 0.000
0.000 3.901 0.000
0.000 0.000 11.776
Sr Sm In
1 2 3
Direct
0.000 0.000 0.000
0.000 0.000 0.339
0.000 0.000 0.661
0.500 0.500 0.184
0.500 0.500 0.500
0.500 0.500 0.816
```

## Properties
The calculation puts the total energy at -22.08 eV per cell.



Record 8
A geometry-optimized Sr2SmInTe5 structure. Source: Alexandria via LeMat-Bulk, functional PBE.

POSCAR file:
```
Sr2SmInTe5
1.0
2.250 -10.090 0.000
2.250 10.090 0.000
0.000 0.000 13.975
Sr Sm In Te
4 2 2 10
Direct
0.118 0.882 0.500
0.128 0.872 0.139
0.872 0.128 0.639
0.882 0.118 0.000
0.209 0.791 0.840
0.791 0.209 0.340
0.444 0.556 0.261
0.556 0.444 0.761
0.048 0.952 0.884
0.290 0.710 0.494
0.311 0.689 0.179
0.361 0.639 0.822
0.496 0.504 0.584
0.504 0.496 0.084
0.639 0.361 0.322
0.689 0.311 0.679
0.710 0.290 0.994
0.952 0.048 0.384
```

## Properties
The formation energy without anion corrections comes out at -1244 meV/atom. The calculation puts the total energy at -75.46 eV per cell.



no.,V (A^3/atom)
1,28.87
2,31.41
3,32.53
4,31.72
5,42.18
6,27.15
7,29.87
8,35.24